1.
This record from Alexandria via LeMat-Bulk describes a relaxed structure of PrNd3Ho2. The functional is GGA-PBE.

Lattice parameters (Å, degrees): 3.5067 6.0215 19.7409 90.00 90.00 90.00
Space group Immm (No. 71)
Inequivalent atoms, fractional coordinates:
Pr  0.0000  0.0000  0.0000 [2 per cell]
Nd  0.0000  0.0000  0.1909 [4 per cell]
Nd  0.0000  0.5000  0.0000 [2 per cell]
Ho  0.0000  0.0000  0.3616 [4 per cell]

Computed properties:
Formation enthalpy at 0 K: 0.322 eV per atom
Distance to the lowest polymorph of the same formula: 306.0 meV/atom
Calculated volume: 416.8 Å³/cell

2.
This record from Alexandria via LeMat-Bulk describes a relaxed structure of MnAlAs. The functional is GGA-PBE.

Lattice parameters (Å, degrees): 2.8289 2.8289 11.7214 90.00 90.00 90.00
Space group I4mm (No. 107)
Inequivalent atoms, fractional coordinates:
Mn  0.0000  0.0000  0.0000 [2 per cell]
Al  0.0000  0.0000  0.6437 [2 per cell]
As  0.0000  0.0000  0.3534 [2 per cell]

Computed properties:
Formation enthalpy at 0 K: 0.030 eV per atom
Distance to the lowest polymorph of the same formula: 150.1 meV/atom
Calculated volume: 93.8 Å³/cell